FeHg2As | PBE-GGA | optimized geometry

Values from the calculation:
space group	Cmmm
energy relative to the elements	0.52	eV/atom
theoretical density	11165	kg/m³
magnetic moment	2.96	μB/f.u.

a b c (Å): 5.2237 5.2237 3.2433
angles (deg): 90.00 90.00 116.63
Fractional coordinates of all 4 atoms:
1 Fe 0.0000 0.0000 0.0000
2 Hg 0.0000 0.5000 0.5000
3 Hg 0.5000 0.0000 0.5000
4 As 0.5000 0.5000 0.0000